# 1
Below is a geometry-optimized Li2Mn2Ag structure, with properties calculated at the PBE-GGA level.

POSCAR file:
```
Li2Mn2Ag
1.0
7.2987 0.0000 0.0000
0.0000 7.2987 0.0000
0.0000 0.0000 2.6003
Li Mn Ag
4 4 2
Direct
0.1953 0.3047 0.0000
0.3047 0.8047 0.0000
0.6953 0.1953 0.0000
0.8047 0.6953 0.0000
0.0930 0.5930 0.5000
0.4070 0.0930 0.5000
0.5930 0.9070 0.5000
0.9070 0.4070 0.5000
0.0000 0.0000 0.0000
0.5000 0.5000 0.0000
```

* total magnetization: 1.37 μB per formula unit
* final energy: -44.5 eV per cell
* DFT formation energy: 0.552 eV/atom
* space-group type: P4/mbm, No. 127

---

# 2
Below is a geometry-optimized Mo2PRu structure, with properties calculated at the PBE-GGA level.

POSCAR file:
```
Mo2PRu
1.0
0.0000 3.0585 3.0585
3.0585 0.0000 3.0585
3.0585 3.0585 0.0000
Mo P Ru
2 1 1
Direct
0.0000 0.0000 0.0000
0.2500 0.2500 0.2500
0.7500 0.7500 0.7500
0.5000 0.5000 0.5000
```

* total magnetization: 0.01 μB per formula unit
* final energy: -35.9 eV per cell
* DFT formation energy: 0.101 eV/atom
* space-group type: F-43m, No. 216